A plane-wave DFT calculation with PBE was carried out for crystalline VSn3Pb at its relaxed geometry.

Properties
**SG**: Pm-3m (221)
**Energy above the lowest structure with this stoichiometry**: 0 meV per atom
**Formation energy**: 6.3 kcal/mol of atoms
**Size of the total moment**: 0.013 μB per atom

abc: 5.209 5.209 5.209
angles: 90.00 90.00 90.00
Each line ends with the local moment (μB).
Fractional coordinates of all 5 atoms:
Pb 0.500 0.500 0.500  0.00
Sn 0.500 0.000 0.000  0.00
V 0.000 0.000 0.000  0.07
Sn 0.000 0.000 0.500  0.00
Sn 0.000 0.500 0.000  0.00



A plane-wave DFT calculation with PBE was carried out for crystalline VSn2Pb at its relaxed geometry.

Properties
**SG**: I-42d (122)
**Formation energy**: 9.5 kcal/mol of atoms
**Size of the total moment**: 0.698 μB per atom

abc: 4.349 4.349 11.196
angles: 78.80 78.80 90.00
Each line ends with the local moment (μB).
Fractional coordinates of all 8 atoms:
Sn 0.613 0.125 0.250  -0.03
V 0.250 0.750 0.500  2.47
V 0.500 0.500 0.000  2.47
Pb 0.750 0.250 0.500  -0.04
Sn 0.875 0.863 0.750  -0.03
Pb 0.000 0.000 0.000  -0.04
Sn 0.375 0.387 0.750  -0.03
Sn 0.137 0.625 0.250  -0.03



A plane-wave DFT calculation with PBE was carried out for crystalline VSn2Pb at its relaxed geometry.

Properties
**SG**: R-3m (166)
**Formation energy**: 4.6 kcal/mol of atoms
**Size of the total moment**: 0.481 μB per atom

abc: 3.299 3.299 10.718
angles: 81.15 81.15 60.00
Each line ends with the local moment (μB).
Fractional coordinates of all 4 atoms:
Pb 0.000 0.000 0.000  -0.01
Sn 0.900 0.900 0.301  0.03
Sn 0.100 0.100 0.699  0.03
V 0.500 0.500 0.500  1.65